Entry 1:
An optimized crystal structure of BeSnSbC2. Source: Alexandria, functional PBE-GGA.

Cell lengths 3.9801, 3.9801, 5.0653 Å; angles 90.00, 90.00, 90.00 degrees
Positions (direct):
Be (0.0000, 0.0000, 0.0000)
Sn (0.5000, 0.5000, 0.5000)
Sb (0.0000, 0.0000, 0.5000)
C (0.0000, 0.5000, 0.0000)
C (0.5000, 0.0000, 0.0000)

Results
Size of the total moment ... 0.0 μB/cell
Space group ... No. 123
Raw formation energy ... 1.92 eV/atom

***

Entry 2:
An optimized crystal structure of Ac8Sn5Se. Source: Alexandria, functional PBE-GGA.

Cell lengths 8.7508, 8.7508, 8.7508 Å; angles 109.82, 109.82, 108.77 degrees
Positions (direct):
Ac (0.0180, 0.6373, 0.7584)
Ac (0.2395, 0.4937, 0.1096)
Ac (0.3627, 0.1211, 0.3807)
Ac (0.3841, 0.1299, 0.8904)
Ac (0.5063, 0.6159, 0.7458)
Ac (0.7404, 0.9820, 0.6193)
Ac (0.8701, 0.7605, 0.2542)
Ac (0.8789, 0.2596, 0.2416)
Sn (0.1197, 0.2478, 0.6237)
Sn (0.2500, 0.7500, 0.5000)
Sn (0.5040, 0.8803, 0.1280)
Sn (0.6241, 0.4960, 0.3763)
Sn (0.7522, 0.3759, 0.8720)
Se (0.0000, 0.0000, 0.0000)

Results
Size of the total moment ... 0.0 μB/cell
Space group ... No. 82
Raw formation energy ... -0.81 eV/atom

***

Entry 3:
An optimized crystal structure of EuYErMg. Source: Alexandria, functional PBE-GGA.

Cell lengths 5.5766, 5.5766, 5.5766 Å; angles 60.00, 60.00, 60.00 degrees
Positions (direct):
Eu (0.0000, 0.0000, 0.0000)
Y (0.2500, 0.2500, 0.2500)
Er (0.7500, 0.7500, 0.7500)
Mg (0.5000, 0.5000, 0.5000)

Results
Size of the total moment ... 7.1 μB/cell
Space group ... No. 216
Energy of formation from the pure elements ... 0.083 eV/atom

***

Entry 4:
An optimized crystal structure of Th4MnNi. Source: Alexandria, functional PBE-GGA.

Cell lengths 6.2111, 6.8507, 7.5810 Å; angles 89.95, 71.87, 89.26 degrees
Positions (direct):
Th (0.0033, 0.0001, 0.2557)
Th (0.0041, 0.5025, 0.2564)
Th (0.4362, 0.7532, 0.3946)
Th (0.4406, 0.7454, 0.8832)
Th (0.5594, 0.2546, 0.1168)
Th (0.5638, 0.2468, 0.6054)
Th (0.9959, 0.4975, 0.7436)
Th (0.9967, 0.9999, 0.7443)
Mn (0.2222, 0.2317, 0.4419)
Mn (0.7778, 0.7683, 0.5581)
Ni (0.2008, 0.2471, 0.9480)
Ni (0.7992, 0.7529, 0.0520)

Results
Size of the total moment ... 0.0 μB/cell
Space group ... No. 2
Energy of formation from the pure elements ... -0.089 eV/atom

***

Which value of size of the total moment does entry 1 give?
0.0 μB/cell